Density functional theory data (PBEsol) for Be2TcSb after structural relaxation.

The space group is P4mm (No. 99) and the conventional cell measures 3.223, 3.223 and 5.146 Å, with angles of 90.00, 90.00 and 90.00 degrees. The distinct sites, in fractional coordinates, are Be at (0.000, 0.000, 0.000), Be at (0.500, 0.500, 0.202), Tc at (0.500, 0.500, 0.764) and Sb at (0.000, 0.000, 0.487).

As for the total magnetic moment: 0.000 Bohr magnetons per cell. The electronic total energy comes out at -5.8015 eV per atom. The value obtained for the energy relative to the elements, uncorrected is 0.15 eV per atom.

---

Density functional theory data (PBEsol) for SnAs3Pd after structural relaxation.

The space group is Pm-3m (No. 221) and the conventional cell measures 5.091, 5.091 and 5.091 Å, with angles of 90.00, 90.00 and 90.00 degrees. The distinct sites, in fractional coordinates, are Sn at (0.000, 0.000, 0.000), As at (0.000, 0.000, 0.500) and Pd at (0.500, 0.500, 0.500).

As for the total magnetic moment: 0.001 Bohr magnetons per cell. The calculated formation energy comes out at 29.22 kcal/mol of atoms. The electronic total energy comes out at -3.8404 eV per atom.

---

Question: Among the records above, which one has the highest total magnetic moment?
Answer: SnAs3Pd